The following is a PBE-GGA calculation of a relaxed AlAgGeS4 crystal, from Alexandria.

Cell and atoms, written as POSCAR:
```
AlAgGeS4
1.0
-3.592 4.340 -1.196
-3.967 -3.774 -1.784
1.966 -0.529 6.044
S Ge Al Ag
4 1 1 1
Direct
0.583 0.609 0.734
0.875 0.417 0.266
0.151 0.125 0.734
0.391 0.849 0.266
0.250 0.750 0.500
0.500 0.500 0.000
0.000 0.000 0.000
```

Results
E_form (uncorrected) ... -0.565 eV per atom
Fermi-level density of states ... 0.0 states/eV/cell

The following is a PBE-GGA calculation of a relaxed CaCu2Sn4 crystal, from Alexandria.

Cell and atoms, written as POSCAR:
```
CaCu2Sn4
1.0
-0.145 -1.103 -4.309
-2.280 -6.831 1.826
-18.416 5.908 -0.891
Cu Sn Ca
8 16 4
Direct
0.750 0.476 0.717
0.250 0.755 0.542
0.750 0.024 0.217
0.750 0.255 0.958
0.750 0.245 0.458
0.250 0.976 0.783
0.250 0.745 0.042
0.250 0.524 0.283
0.750 0.313 0.316
0.750 0.771 0.808
0.750 0.995 0.067
0.250 0.229 0.192
0.250 0.687 0.684
0.750 0.505 0.567
0.750 0.187 0.816
0.250 0.139 0.530
0.750 0.639 0.970
0.250 0.005 0.933
0.250 0.361 0.030
0.250 0.495 0.433
0.750 0.861 0.470
0.250 0.271 0.692
0.750 0.729 0.308
0.250 0.813 0.184
0.250 0.480 0.859
0.750 0.980 0.641
0.250 0.020 0.359
0.750 0.520 0.141
```

Results
Energy of formation ... -0.18 eV/atom
Fermi-level density of states ... 8.8 states/eV/cell

The following is a PBE-GGA calculation of a relaxed PSeBr2 crystal, from Alexandria.

Cell and atoms, written as POSCAR:
```
PSeBr2
1.0
0.472 0.201 -3.443
-1.403 -2.777 1.561
-10.470 4.634 -1.164
P Br Se
1 2 1
Direct
0.500 0.500 0.500
0.000 0.000 0.665
0.000 0.000 0.335
0.500 0.500 0.000
```

Results
E_form (uncorrected) ... 0.564 eV per atom
Fermi-level density of states ... 3.3 states/eV/cell
ΔE to the lowest computed polymorph ... 622 meV/atom

The following is a PBE-GGA calculation of a relaxed NiOsS2Cl crystal, from Alexandria.

Cell and atoms, written as POSCAR:
```
NiOsS2Cl
1.0
4.485 0.000 0.000
0.000 4.485 0.000
0.000 0.000 4.352
Cl Os Ni S
1 1 1 2
Direct
0.000 0.000 0.500
0.500 0.500 0.500
0.000 0.000 0.000
0.000 0.500 0.000
0.500 0.000 0.000
```

Results
E_form (uncorrected) ... 1.134 eV per atom
Fermi-level density of states ... 4.5 states/eV/cell
ΔE to the lowest computed polymorph ... 321 meV/atom

Q: Number 4 is which compound?
A: NiOsS2Cl